Entry from Alexandria: a relaxed BaCr2FeAg crystal (PBE).

The structure belongs to space group P4/mmm (No. 123); the cell edges are 4.615, 4.615 and 5.807 Å and the angles 90.00°, 90.00° and 90.00°. The asymmetric unit holds Ba at (0.000, 0.000, 0.000), Cr at (0.000, 0.500, 0.500), Fe at (0.000, 0.000, 0.500) and Ag at (0.500, 0.500, 0.000).

Its total energy is -5.531 eV per atom. Its volume is 24.7 A^3/atom. The magnetic moment comes out at 6.11 μB per formula unit. The energy relative to the elements comes out at 0.965 eV/atom.


Entry from Alexandria: a relaxed BaCr2AgI crystal (PBE).

The structure belongs to space group P4/mmm (No. 123); the cell edges are 5.216, 5.216 and 6.465 Å and the angles 90.00°, 90.00° and 90.00°. The asymmetric unit holds Ba at (0.000, 0.000, 0.000), Cr at (0.000, 0.500, 0.500), Ag at (0.000, 0.000, 0.500) and I at (0.500, 0.500, 0.000).

The formation energy from raw total energies comes out at 0.4827 eV per atom. Its total energy is -4.631 eV per atom. Its volume is 35.2 A^3/atom. The magnetic moment comes out at 9.73 μB per formula unit.


Entry from Alexandria: a relaxed Ba2CrInAg crystal (PBE).

The structure belongs to space group P4/mmm (No. 123); the cell edges are 6.637, 6.637 and 5.179 Å and the angles 90.00°, 90.00° and 90.00°. The asymmetric unit holds Ba at (0.000, 0.500, 0.000), Cr at (0.000, 0.000, 0.500), In at (0.500, 0.500, 0.000) and Ag at (0.500, 0.500, 0.500).

Its total energy is -3.285 eV per atom. Its volume is 45.6 A^3/atom. The magnetic moment comes out at 4.85 μB per formula unit. The energy relative to the elements comes out at 0.526 eV/atom.


Entry from Alexandria: a relaxed BaLa2CrAg crystal (PBE).

The structure belongs to space group P4/mmm (No. 123); the cell edges are 5.248, 5.248 and 5.678 Å and the angles 90.00°, 90.00° and 90.00°. The asymmetric unit holds Ba at (0.000, 0.000, 0.000), La at (0.000, 0.500, 0.500), Cr at (0.500, 0.500, 0.500) and Ag at (0.500, 0.500, 0.000).

Its total energy is -4.513 eV per atom. Its volume is 31.3 A^3/atom. The magnetic moment comes out at 1.25 μB per formula unit. The energy relative to the elements comes out at 0.337 eV/atom.


Entry from Alexandria: a relaxed Ba2NaCrAg crystal (PBE).

The structure belongs to space group P4/mmm (No. 123); the cell edges are 6.552, 6.552 and 5.135 Å and the angles 90.00°, 90.00° and 90.00°. The asymmetric unit holds Ba at (0.000, 0.500, 0.000), Na at (0.000, 0.000, 0.000), Cr at (0.000, 0.000, 0.500) and Ag at (0.500, 0.500, 0.500).

Its total energy is -2.763 eV per atom. Its volume is 44.1 A^3/atom. The magnetic moment comes out at 5.18 μB per formula unit. The energy relative to the elements comes out at 0.765 eV/atom.